LiY4Sc3S8 | PBE | optimized geometry

The structure belongs to space group R-3m (No. 166, hexagonal axes); the cell edges are 7.6314, 7.6314 and 18.5854 Å and the angles 90.00°, 90.00° and 120.00°. The asymmetric unit holds Li at (0.0000, 0.0000, 0.0000), Y at (0.0000, 0.0000, 0.5000), Y at (0.0000, 0.5000, 0.5000), Sc at (0.0000, 0.5000, 0.0000), S at (0.0000, 0.0000, 0.2554) and S at (0.0016, 0.5008, 0.7441).

The value obtained for the total moment is 0.000 μB per formula unit. The energy relative to the elements, uncorrected comes out at -1.911 eV/atom.

***

LiY2Sc3S6 | PBE | optimized geometry

The structure belongs to space group C2/m (No. 12); the cell edges are 6.519, 11.304 and 6.569 Å and the angles 90.00°, 109.43° and 90.00°. The asymmetric unit holds Li at (0.000, 0.000, 0.000), Y at (0.000, 0.334, 0.000), Sc at (0.000, 0.165, 0.500), Sc at (0.000, 0.500, 0.500), S at (0.237, 0.000, 0.743) and S at (0.249, 0.162, 0.262).

The value obtained for the total moment is 0.000 μB per formula unit. The energy relative to the elements, uncorrected comes out at -1.896 eV/atom.

***

Li4Y3ScS8 | PBE | optimized geometry

The structure belongs to space group R-3m (No. 166, hexagonal axes); the cell edges are 7.7289, 7.7289 and 18.4843 Å and the angles 90.00°, 90.00° and 120.00°. The asymmetric unit holds Li at (0.0000, 0.0000, 0.0000), Li at (0.0000, 0.5000, 0.0000), Y at (0.0000, 0.5000, 0.5000), Sc at (0.0000, 0.0000, 0.5000), S at (0.0000, 0.0000, 0.2510) and S at (0.0117, 0.5058, 0.2488).

The value obtained for the total moment is 0.000 μB per formula unit. The energy relative to the elements, uncorrected comes out at -1.823 eV/atom.